Density functional theory data (PBE) for a geometry-optimized Cs2RbLiCd structure.

Formation enthalpy at 0 K (eV/atom): 0.0841
Density of states at the Fermi level (states/eV/atom): 0.9831
Offset from the most stable computed form (kcal/mol of atoms): 0.000
SG: P4/mmm (123)
Calculated volume (Å³ per atom): 68.02

a b c (Å): 7.6716 7.6716 5.7786
angles (deg): 90.00 90.00 90.00
Positions (direct):
Cs  0.0000  0.5000  0.0000
Cs  0.5000  0.0000  0.0000
Rb  0.0000  0.0000  0.5000
Li  0.5000  0.5000  0.5000
Cd  0.5000  0.5000  0.0000



Density functional theory data (PBE) for a geometry-optimized SrRe2Ru structure.

Formation enthalpy at 0 K (eV/atom): 0.9229
Density of states at the Fermi level (states/eV/atom): 0.5849
Offset from the most stable computed form (kcal/mol of atoms): 7.606
SG: F-43m (216)
Calculated volume (Å³ per atom): 17.30

a b c (Å): 4.6087 4.6087 4.6087
angles (deg): 60.00 60.00 60.00
Positions (direct):
Sr  0.0000  0.0000  0.0000
Re  0.5000  0.5000  0.5000
Re  0.7500  0.7500  0.7500
Ru  0.2500  0.2500  0.2500



In μB/atom, the magnetic moment values for the records above are, in order, 0.000 0.000.